CaCrP2O after structural relaxation, computed with PBE with a Hubbard U.

Its energy above the most stable polymorph in this dataset is 0.000 eV per atom. The total magnetization is 1.91 μB per formula unit.

The structure belongs to space group P4/mmm (No. 123); the cell edges are 5.091, 5.091 and 3.552 Å and the angles 90.00°, 90.00° and 90.00°. The inequivalent atoms are Ca at (0.000, 0.000, 0.000), Cr at (0.500, 0.500, 0.500), P at (0.000, 0.500, 0.500) and O at (0.500, 0.500, 0.000).